## CdBiAu3 (PBE)

Data for a geometry-optimized CdBiAu3 structure.

Cell: 5.4403 6.9796 6.0887 Å, 90.00 104.27 90.00°
With the nearest neighbours (Å) after each atom.
Element x y z (fractional)
1 Cd 0.0714 0.2500 0.4222  6 Au 2.82-3.01
2 Cd 0.9286 0.7500 0.5778  6 Au 2.82-3.01
3 Bi 0.3435 0.7500 0.2468  7 Au 2.92-3.17
4 Bi 0.6565 0.2500 0.7532  7 Au 2.92-3.17
5 Au 0.1854 0.0470 0.8726  4 Au 2.83-2.94, 2 Cd 2.87-3.01, 3 Bi 3.04-3.17
6 Au 0.1854 0.4530 0.8726  4 Au 2.83-2.94, 2 Cd 2.87-3.01, 3 Bi 3.04-3.17
7 Au 0.4873 0.7500 0.7411  2 Cd 2.82-2.96, 4 Au 2.88-2.94, 1 Bi 2.92
8 Au 0.5127 0.2500 0.2589  2 Cd 2.82-2.96, 4 Au 2.88-2.94, 1 Bi 2.92
9 Au 0.8146 0.5470 0.1274  4 Au 2.83-2.94, 2 Cd 2.87-3.01, 3 Bi 3.04-3.17
10 Au 0.8146 0.9530 0.1274  4 Au 2.83-2.94, 2 Cd 2.87-3.01, 3 Bi 3.04-3.17

Calculated values
space group: P2_1/m
energy relative to the elements: -0.0371 eV/atom